# Sc2FeMo

A relaxed Sc2FeMo crystal (GGA-PBE, the Alexandria database).

The structure in extended XYZ format:
```
4
Lattice="-5.0495 6.4429 3.3315 -7.1894 4.4263 2.6131 -5.7278 4.2060 5.2545" Properties=species:S:1:pos:R:3 pbc="T T T"
Sc -9.1307 7.6613 5.6914
Sc -17.8195 14.9517 11.1072
Mo -13.4751 11.3065 8.3993
Fe -4.4917 3.7688 2.7998
```

## Properties
The calculation puts the density of states at the Fermi level at 1.19 states/eV per atom. The formation energy comes out at 0.316 eV per atom. The symmetry is R-3m (166).

=====

# BaNiIr2

A relaxed BaNiIr2 crystal (GGA-PBE, the Alexandria database).

The structure in extended XYZ format:
```
4
Lattice="-2.7652 4.5435 -0.0748 -4.6748 2.4052 0.8100 -0.1063 2.3420 5.4299" Properties=species:S:1:pos:R:3 pbc="T T T"
Ir -3.4427 4.6083 3.7060
Ir -0.4368 2.3791 4.8064
Ba -1.8866 2.3227 1.5413
Ni -5.6597 6.9680 4.6238
```

## Properties
The calculation puts the density of states at the Fermi level at 1.18 states/eV per atom. The formation energy comes out at 0.431 eV per atom. The symmetry is C2/m (12).